Entry 1:
CaGeBi2O6 (GGA-PBE, optimized geometry); E_tot = -6.08 eV/atom; volume = 14.96 A^3/atom; total magnetic moment = 0.0 μB per formula unit; ΔE_f (raw) = -16.66 eV/f.u.
1.0
-3.142 3.797 -1.228
0.582 -1.218 -5.256
-4.224 -3.392 0.318
Ca Ge Bi O
1 1 2 6
Direct
0.549 0.500 0.500
0.602 0.000 0.000
0.995 0.500 0.000
0.995 0.000 0.500
0.733 0.230 0.230
0.733 0.230 0.770
0.119 0.500 0.500
0.254 0.000 0.000
0.733 0.770 0.770
0.733 0.770 0.230

Entry 2:
CaGeBiO4 (GGA-PBE, optimized geometry); E_tot = -6.10 eV/atom; volume = 15.27 A^3/atom; total magnetic moment = 0.0 μB per formula unit; ΔE_f (raw) = -12.40 eV/f.u.
1.0
-4.988 2.291 -1.483
2.400 -3.495 -3.788
-3.532 -5.722 3.042
Ca Ge Bi O
2 2 2 8
Direct
0.500 0.500 0.500
0.500 0.500 0.000
0.157 0.843 0.250
0.843 0.157 0.750
0.814 0.186 0.250
0.186 0.814 0.750
0.197 0.271 0.750
0.729 0.803 0.750
0.738 0.262 0.947
0.738 0.262 0.553
0.262 0.738 0.053
0.262 0.738 0.447
0.803 0.729 0.250
0.271 0.197 0.250

Entry 3:
Ca2Ge3BiPd4 (GGA-PBE, optimized geometry); ΔE_f = -6.24 eV/f.u.; E_tot = -4.88 eV/atom; volume = 20.79 A^3/atom; total magnetic moment = 0.0 μB per formula unit
1.0
-4.367 -0.159 -0.575
-0.572 -0.072 4.370
-0.406 10.692 0.123
Ca Ge Bi Pd
2 3 1 4
Direct
0.500 0.000 0.235
0.000 0.500 0.765
0.000 0.000 0.500
0.500 0.000 0.884
0.000 0.500 0.116
0.500 0.500 0.500
0.500 0.500 0.000
0.000 0.000 0.000
0.500 0.000 0.656
0.000 0.500 0.344

Which formula does entry 1 have?
CaGeBi2O6

E_tot of number 1 (CaGeBi2O6)?
-6.08 eV/atom

Look up the volume of the first one.
14.96 A^3/atom

Which value of volume does entry 3 give?
20.79 A^3/atom